This record from the Alexandria database describes crystalline TmBiCl6 at its relaxed geometry. The functional is PBE-GGA.

## Properties
Formation energy from raw total energies   -1.598 eV/atom
Energy above the lowest structure with this stoichiometry   5.7 meV per atom
Magnetization   0.000 μB per cell

abc: 7.2363 7.2363 7.2363
angles: 55.37 55.37 55.37
Closest atoms and distances in Å follow each position.
Positions (direct):
Tm 0.0000 0.0000 0.0000  6 Cl 2.62
Bi 0.5000 0.5000 0.5000  6 Cl 2.74
Cl 0.0877 0.7579 0.3988  1 Tm 2.62, 1 Bi 2.74
Cl 0.2421 0.6012 0.9123  1 Tm 2.62, 1 Bi 2.74
Cl 0.3988 0.0877 0.7579  1 Tm 2.62, 1 Bi 2.74
Cl 0.6012 0.9123 0.2421  1 Tm 2.62, 1 Bi 2.74
Cl 0.7579 0.3988 0.0877  1 Tm 2.62, 1 Bi 2.74
Cl 0.9123 0.2421 0.6012  1 Tm 2.62, 1 Bi 2.74